# TbErAlRu PBE-GGA relaxed
# energy	-5.91	eV/atom
data_TbErAlRu
_chemical_formula_sum 'Tb4 Er4 Al4 Ru4'
_space_group_name_H-M_alt 'F -4 3 m'
_space_group_IT_number 216
_space_group_name_Hall 'F -4 2 3'
_cell_length_a 6.991
_cell_length_b 6.991
_cell_length_c 6.991
_cell_angle_alpha 90.00
_cell_angle_beta 90.00
_cell_angle_gamma 90.00
loop_
_atom_site_label
_atom_site_type_symbol
_atom_site_fract_x
_atom_site_fract_y
_atom_site_fract_z
_atom_site_occupancy
Tb1 Tb 0.000 0.000 0.000 1
Er1 Er 0.000 0.000 0.500 1
Al1 Al 0.250 0.250 0.750 1
Ru1 Ru 0.250 0.250 0.250 1


# Er2UAl2Ru5 PBE-GGA relaxed
# energy	-7.98	eV/atom
data_Er2UAl2Ru5
_chemical_formula_sum 'Er4 U2 Al4 Ru10'
_space_group_name_H-M_alt 'P 4/m b m'
_space_group_IT_number 127
_space_group_name_Hall '-P 4 2ab'
_cell_length_a 10.097
_cell_length_b 10.097
_cell_length_c 3.385
_cell_angle_alpha 90.00
_cell_angle_beta 90.00
_cell_angle_gamma 90.00
loop_
_atom_site_label
_atom_site_type_symbol
_atom_site_fract_x
_atom_site_fract_y
_atom_site_fract_z
_atom_site_occupancy
Er1 Er 0.169 0.331 0.000 1
U1 U 0.000 0.000 0.000 1
Al1 Al 0.127 0.627 0.000 1
Ru1 Ru 0.000 0.500 0.500 1
Ru2 Ru 0.069 0.801 0.500 1


# Er2AlV2Ru5 PBE-GGA relaxed
# energy	-8.05	eV/atom
data_Er2AlV2Ru5
_chemical_formula_sum 'Er4 Al2 V4 Ru10'
_space_group_name_H-M_alt 'P 4/m b m'
_space_group_IT_number 127
_space_group_name_Hall '-P 4 2ab'
_cell_length_a 10.183
_cell_length_b 10.183
_cell_length_c 3.180
_cell_angle_alpha 90.00
_cell_angle_beta 90.00
_cell_angle_gamma 90.00
loop_
_atom_site_label
_atom_site_type_symbol
_atom_site_fract_x
_atom_site_fract_y
_atom_site_fract_z
_atom_site_occupancy
Er1 Er 0.172 0.328 0.000 1
Al1 Al 0.000 0.000 0.000 1
V1 V 0.130 0.630 0.000 1
Ru1 Ru 0.000 0.500 0.500 1
Ru2 Ru 0.066 0.799 0.500 1